No. 1
# KTaPO PBE relaxed
data_KTaPO
_chemical_formula_sum 'K2 Ta2 P2 O2'
_space_group_name_H-M_alt 'P m c 21'
_space_group_IT_number 26
_space_group_name_Hall 'P 2c -2'
_cell_length_a 3.620
_cell_length_b 8.099
_cell_length_c 6.372
_cell_angle_alpha 90.00
_cell_angle_beta 90.00
_cell_angle_gamma 90.00
loop_
_atom_site_label
_atom_site_type_symbol
_atom_site_fract_x
_atom_site_fract_y
_atom_site_fract_z
K1 K 0.000 0.161 0.000
Ta1 Ta 0.500 0.415 0.594
P1 P 0.000 0.237 0.485
O1 O 0.500 0.396 0.901
# - VASP energy (eV per atom) = -6.967

No. 2
# KTaPO PBE relaxed
data_KTaPO
_chemical_formula_sum 'K2 Ta2 P2 O2'
_space_group_name_H-M_alt 'P 4/n m m'
_space_group_IT_number 129
_cell_length_a 3.592
_cell_length_b 3.592
_cell_length_c 9.742
_cell_angle_alpha 90.00
_cell_angle_beta 90.00
_cell_angle_gamma 90.00
loop_
_space_group_symop_operation_xyz
'x,y,z'
'-x,-y,-z'
'-y+1/2,x,z'
'y+1/2,-x,-z'
'-x+1/2,-y+1/2,z'
'x+1/2,y+1/2,-z'
'y,-x+1/2,z'
'-y,x+1/2,-z'
'x+1/2,-y,-z'
'-x+1/2,y,z'
'-y,-x,-z'
'y,x,z'
'-x,y+1/2,-z'
'x,-y+1/2,z'
'y+1/2,x+1/2,-z'
'-y+1/2,-x+1/2,z'
loop_
_atom_site_label
_atom_site_type_symbol
_atom_site_fract_x
_atom_site_fract_y
_atom_site_fract_z
K1 K 0.250 0.750 0.000
Ta1 Ta 0.250 0.250 0.372
P1 P 0.250 0.250 0.748
O1 O 0.250 0.750 0.500
# - VASP energy (eV per atom) = -6.442

No. 3
# KTaP2O8 PBE relaxed
data_KTaP2O8
_chemical_formula_sum 'K3 Ta3 P6 O24'
_space_group_name_H-M_alt 'R -3'
_space_group_IT_number 148
_space_group_name_Hall '-R 3'
_cell_length_a 4.8219
_cell_length_b 4.8219
_cell_length_c 23.8550
_cell_angle_alpha 90.00
_cell_angle_beta 90.00
_cell_angle_gamma 120.00
loop_
_atom_site_label
_atom_site_type_symbol
_atom_site_fract_x
_atom_site_fract_y
_atom_site_fract_z
K1 K 0.0000 0.0000 0.0000
Ta1 Ta 0.0000 0.0000 0.5000
P1 P 0.0000 0.0000 0.2417
O1 O 0.0000 0.0000 0.3038
O2 O 0.0196 0.3865 0.8825
# - VASP energy (eV per atom) = -7.717

No. 4
# KTaP2O8 PBE relaxed
data_KTaP2O8
_chemical_formula_sum 'K2 Ta2 P4 O16'
_space_group_name_H-M_alt 'C 1 2/m 1'
_space_group_IT_number 12
_space_group_name_Hall '-C 2y'
_cell_length_a 8.524
_cell_length_b 5.242
_cell_length_c 7.744
_cell_angle_alpha 90.00
_cell_angle_beta 92.32
_cell_angle_gamma 90.00
loop_
_atom_site_label
_atom_site_type_symbol
_atom_site_fract_x
_atom_site_fract_y
_atom_site_fract_z
K1 K 0.000 0.000 0.000
Ta1 Ta 0.000 0.000 0.500
P1 P 0.144 0.500 0.278
O1 O 0.042 0.263 0.324
O2 O 0.193 0.500 0.097
O3 O 0.219 0.000 0.581
# - VASP energy (eV per atom) = -7.745

No. 5
# KTaP2O8 PBE relaxed
data_KTaP2O8
_chemical_formula_sum 'K1 Ta1 P2 O8'
_space_group_name_H-M_alt 'P -3'
_space_group_IT_number 147
_space_group_name_Hall '-P 3'
_cell_length_a 4.8488
_cell_length_b 4.8488
_cell_length_c 8.4237
_cell_angle_alpha 90.00
_cell_angle_beta 90.00
_cell_angle_gamma 120.00
loop_
_atom_site_label
_atom_site_type_symbol
_atom_site_fract_x
_atom_site_fract_y
_atom_site_fract_z
K1 K 0.0000 0.0000 0.0000
Ta1 Ta 0.0000 0.0000 0.5000
P1 P 0.3333 0.6667 0.7145
O1 O 0.0609 0.7097 0.6407
O2 O 0.3333 0.6667 0.8911
# - VASP energy (eV per atom) = -7.734

No. 6
# KTaPO PBE relaxed
data_KTaPO
_chemical_formula_sum 'K2 Ta2 P2 O2'
_space_group_name_H-M_alt 'P m c 21'
_space_group_IT_number 26
_space_group_name_Hall 'P 2c -2'
_cell_length_a 3.481
_cell_length_b 7.124
_cell_length_c 7.263
_cell_angle_alpha 90.00
_cell_angle_beta 90.00
_cell_angle_gamma 90.00
loop_
_atom_site_label
_atom_site_type_symbol
_atom_site_fract_x
_atom_site_fract_y
_atom_site_fract_z
K1 K 0.000 0.221 0.000
Ta1 Ta 0.500 0.295 0.473
P1 P 0.500 0.486 0.735
O1 O 0.000 0.158 0.457
# - VASP energy (eV per atom) = -6.871

No. 7
# KTaPO PBE relaxed
data_KTaPO
_chemical_formula_sum 'K2 Ta2 P2 O2'
_space_group_name_H-M_alt 'P 4/n m m'
_space_group_IT_number 129
_cell_length_a 4.099
_cell_length_b 4.099
_cell_length_c 10.821
_cell_angle_alpha 90.00
_cell_angle_beta 90.00
_cell_angle_gamma 90.00
loop_
_space_group_symop_operation_xyz
'x,y,z'
'-x,-y,-z'
'-y+1/2,x,z'
'y+1/2,-x,-z'
'-x+1/2,-y+1/2,z'
'x+1/2,y+1/2,-z'
'y,-x+1/2,z'
'-y,x+1/2,-z'
'x+1/2,-y,-z'
'-x+1/2,y,z'
'-y,-x,-z'
'y,x,z'
'-x,y+1/2,-z'
'x,-y+1/2,z'
'y+1/2,x+1/2,-z'
'-y+1/2,-x+1/2,z'
loop_
_atom_site_label
_atom_site_type_symbol
_atom_site_fract_x
_atom_site_fract_y
_atom_site_fract_z
K1 K 0.250 0.250 0.145
Ta1 Ta 0.250 0.750 0.500
P1 P 0.250 0.250 0.632
O1 O 0.250 0.750 0.000
# - VASP energy (eV per atom) = -6.044

No. 8
# KTbP4O12 PBE relaxed
data_KTbP4O12
_chemical_formula_sum 'K2 Tb2 P8 O24'
_space_group_name_H-M_alt 'P 1 21 1'
_space_group_IT_number 4
_space_group_name_Hall 'P 2yb'
_cell_length_a 7.177
_cell_length_b 8.228
_cell_length_c 7.847
_cell_angle_alpha 90.00
_cell_angle_beta 91.97
_cell_angle_gamma 90.00
loop_
_atom_site_label
_atom_site_type_symbol
_atom_site_fract_x
_atom_site_fract_y
_atom_site_fract_z
K1 K 0.227 0.000 0.278
Tb1 Tb 0.264 0.699 0.756
P1 P 0.061 0.075 0.903
P2 P 0.120 0.441 0.403
P3 P 0.399 0.285 0.903
P4 P 0.497 0.050 0.619
O1 O 0.030 0.284 0.351
O2 O 0.040 0.587 0.283
O3 O 0.080 0.601 0.964
O4 O 0.113 0.495 0.584
O5 O 0.182 0.929 0.929
O6 O 0.183 0.238 0.886
O7 O 0.323 0.950 0.612
O8 O 0.330 0.430 0.344
O9 O 0.418 0.449 0.825
O10 O 0.468 0.655 0.533
O11 O 0.469 0.255 0.082
O12 O 0.489 0.656 0.210
# - VASP energy (eV per atom) = -7.269

No. 9
# KTbPO PBE relaxed
data_KTbPO
_chemical_formula_sum 'K2 Tb2 P2 O2'
_space_group_name_H-M_alt 'P 4/n m m'
_space_group_IT_number 129
_cell_length_a 5.754
_cell_length_b 5.754
_cell_length_c 5.063
_cell_angle_alpha 90.00
_cell_angle_beta 90.00
_cell_angle_gamma 90.00
loop_
_space_group_symop_operation_xyz
'x,y,z'
'-x,-y,-z'
'-y+1/2,x,z'
'y+1/2,-x,-z'
'-x+1/2,-y+1/2,z'
'x+1/2,y+1/2,-z'
'y,-x+1/2,z'
'-y,x+1/2,-z'
'x+1/2,-y,-z'
'-x+1/2,y,z'
'-y,-x,-z'
'y,x,z'
'-x,y+1/2,-z'
'x,-y+1/2,z'
'y+1/2,x+1/2,-z'
'-y+1/2,-x+1/2,z'
loop_
_atom_site_label
_atom_site_type_symbol
_atom_site_fract_x
_atom_site_fract_y
_atom_site_fract_z
K1 K 0.250 0.250 0.001
Tb1 Tb 0.250 0.750 0.500
P1 P 0.250 0.250 0.501
O1 O 0.250 0.750 0.000
# - VASP energy (eV per atom) = -5.048

No. 10
# KTbPO PBE relaxed
data_KTbPO
_chemical_formula_sum 'K2 Tb2 P2 O2'
_space_group_name_H-M_alt 'P m c 21'
_space_group_IT_number 26
_space_group_name_Hall 'P 2c -2'
_cell_length_a 4.857
_cell_length_b 6.743
_cell_length_c 5.911
_cell_angle_alpha 90.00
_cell_angle_beta 90.00
_cell_angle_gamma 90.00
loop_
_atom_site_label
_atom_site_type_symbol
_atom_site_fract_x
_atom_site_fract_y
_atom_site_fract_z
K1 K 0.000 0.131 0.000
Tb1 Tb 0.500 0.227 0.502
P1 P 0.000 0.435 0.500
O1 O 0.500 0.001 0.753
# - VASP energy (eV per atom) = -5.510

No. 11
# KTbPO PBE relaxed
data_KTbPO
_chemical_formula_sum 'K2 Tb2 P2 O2'
_space_group_name_H-M_alt 'P m c 21'
_space_group_IT_number 26
_space_group_name_Hall 'P 2c -2'
_cell_length_a 3.458
_cell_length_b 7.763
_cell_length_c 7.563
_cell_angle_alpha 90.00
_cell_angle_beta 90.00
_cell_angle_gamma 90.00
loop_
_atom_site_label
_atom_site_type_symbol
_atom_site_fract_x
_atom_site_fract_y
_atom_site_fract_z
K1 K 0.000 0.046 0.000
Tb1 Tb 0.500 0.375 0.359
P1 P 0.500 0.291 0.722
O1 O 0.000 0.242 0.279
# - VASP energy (eV per atom) = -5.524

No. 12
# KTbPO PBE relaxed
data_KTbPO
_chemical_formula_sum 'K2 Tb2 P2 O2'
_space_group_name_H-M_alt 'P 4/n m m'
_space_group_IT_number 129
_cell_length_a 4.010
_cell_length_b 4.010
_cell_length_c 10.582
_cell_angle_alpha 90.00
_cell_angle_beta 90.00
_cell_angle_gamma 90.00
loop_
_space_group_symop_operation_xyz
'x,y,z'
'-x,-y,-z'
'-y+1/2,x,z'
'y+1/2,-x,-z'
'-x+1/2,-y+1/2,z'
'x+1/2,y+1/2,-z'
'y,-x+1/2,z'
'-y,x+1/2,-z'
'x+1/2,-y,-z'
'-x+1/2,y,z'
'-y,-x,-z'
'y,x,z'
'-x,y+1/2,-z'
'x,-y+1/2,z'
'y+1/2,x+1/2,-z'
'-y+1/2,-x+1/2,z'
loop_
_atom_site_label
_atom_site_type_symbol
_atom_site_fract_x
_atom_site_fract_y
_atom_site_fract_z
K1 K 0.250 0.750 0.000
Tb1 Tb 0.250 0.250 0.399
P1 P 0.250 0.250 0.773
O1 O 0.250 0.750 0.500
# - VASP energy (eV per atom) = -5.428

No. 13
# KTbP4O12 PBE relaxed
data_KTbP4O12
_chemical_formula_sum 'K4 Tb4 P16 O48'
_space_group_name_H-M_alt 'P 1 21/c 1'
_space_group_IT_number 14
_space_group_name_Hall '-P 2ybc'
_cell_length_a 10.232
_cell_length_b 8.864
_cell_length_c 12.640
_cell_angle_alpha 90.00
_cell_angle_beta 125.62
_cell_angle_gamma 90.00
loop_
_atom_site_label
_atom_site_type_symbol
_atom_site_fract_x
_atom_site_fract_y
_atom_site_fract_z
K1 K 0.244 0.070 0.048
Tb1 Tb 0.316 0.730 0.816
P1 P 0.014 0.019 0.266
P2 P 0.194 0.611 0.018
P3 P 0.319 0.170 0.361
P4 P 0.387 0.096 0.740
O1 O 0.027 0.554 0.889
O2 O 0.062 0.591 0.704
O3 O 0.144 0.154 0.333
O4 O 0.150 0.587 0.320
O5 O 0.156 0.713 0.092
O6 O 0.260 0.050 0.590
O7 O 0.270 0.211 0.747
O8 O 0.301 0.665 0.983
O9 O 0.368 0.028 0.328
O10 O 0.422 0.244 0.491
O11 O 0.430 0.537 0.327
O12 O 0.479 0.685 0.744
# - VASP energy (eV per atom) = -7.271

No. 14
# K2YZrP3O12 PBE relaxed
data_K2YZrP3O12
_chemical_formula_sum 'K8 Y4 Zr4 P12 O48'
_space_group_name_H-M_alt 'P 21 3'
_space_group_IT_number 198
_space_group_name_Hall 'P 2ac 2ab 3'
_cell_length_a 10.330
_cell_length_b 10.330
_cell_length_c 10.330
_cell_angle_alpha 90.00
_cell_angle_beta 90.00
_cell_angle_gamma 90.00
loop_
_atom_site_label
_atom_site_type_symbol
_atom_site_fract_x
_atom_site_fract_y
_atom_site_fract_z
K1 K 0.070 0.070 0.070
K2 K 0.202 0.702 0.798
Y1 Y 0.078 0.922 0.422
Zr1 Zr 0.150 0.350 0.650
P1 P 0.038 0.743 0.124
O1 O 0.005 0.958 0.789
O2 O 0.007 0.108 0.336
O3 O 0.015 0.842 0.232
O4 O 0.082 0.182 0.744
# - VASP energy (eV per atom) = -7.612

| no. | M_tot (μB per cell) |
| --- | --- |
| 1 | 1.90 |
| 2 | 1.70 |
| 3 | 0.01 |
| 4 | 0.01 |
| 5 | 0.00 |
| 6 | 0.08 |
| 7 | 0.02 |
| 8 | 0.01 |
| 9 | 0.00 |
| 10 | 0.00 |
| 11 | 0.00 |
| 12 | 0.01 |
| 13 | 0.01 |
| 14 | 0.00 |